1.
This record from the Alexandria database describes crystalline Tc3Ni5H12 at its relaxed geometry. The functional is GGA-PBE.

a b c (Å): 8.959 8.959 8.959
angles (deg): 109.47 109.47 109.47
Last column: magnetic moment on the atom in μB.
Fractional coordinates of all 80 atoms:
H (0.085, 0.914, 0.367)  0.00
H (0.453, 0.782, 0.867)  0.00
H (0.085, 0.171, 0.218)  0.00
H (0.914, 0.085, 0.867)  0.00
H (0.586, 0.953, 0.671)  0.00
H (0.867, 0.282, 0.453)  0.00
H (0.218, 0.547, 0.633)  0.00
H (0.782, 0.453, 0.367)  0.00
H (0.829, 0.914, 0.047)  0.00
H (0.367, 0.414, 0.085)  0.00
H (0.171, 0.086, 0.953)  0.00
H (0.915, 0.086, 0.633)  0.00
H (0.415, 0.282, 0.329)  0.00
H (0.915, 0.829, 0.782)  0.00
H (0.586, 0.633, 0.415)  0.00
H (0.282, 0.867, 0.953)  0.00
H (0.953, 0.367, 0.282)  0.00
H (0.633, 0.047, 0.218)  0.00
H (0.086, 0.915, 0.133)  0.00
H (0.133, 0.718, 0.547)  0.00
H (0.585, 0.718, 0.671)  0.00
H (0.671, 0.453, 0.586)  0.00
H (0.782, 0.329, 0.915)  0.00
H (0.414, 0.367, 0.585)  0.00
H (0.047, 0.414, 0.829)  0.00
H (0.953, 0.586, 0.171)  0.00
H (0.329, 0.782, 0.415)  0.00
H (0.633, 0.586, 0.915)  0.00
H (0.718, 0.133, 0.047)  0.00
H (0.133, 0.415, 0.086)  0.00
H (0.718, 0.585, 0.171)  0.00
H (0.414, 0.047, 0.329)  0.00
H (0.367, 0.953, 0.782)  0.00
H (0.171, 0.085, 0.718)  0.00
H (0.585, 0.867, 0.414)  0.00
H (0.829, 0.915, 0.282)  0.00
H (0.914, 0.829, 0.547)  0.00
H (0.282, 0.415, 0.829)  0.00
H (0.671, 0.218, 0.585)  0.00
H (0.086, 0.171, 0.453)  0.00
H (0.547, 0.218, 0.133)  0.00
H (0.047, 0.633, 0.718)  0.00
H (0.867, 0.585, 0.914)  0.00
H (0.329, 0.547, 0.414)  0.00
H (0.547, 0.329, 0.914)  0.00
H (0.453, 0.671, 0.086)  0.00
H (0.415, 0.133, 0.586)  0.00
H (0.218, 0.671, 0.085)  0.00
Ni (0.250, 0.875, 0.125)  0.27
Ni (0.500, 0.000, 0.500)  0.10
Ni (0.875, 0.250, 0.625)  0.27
Ni (0.500, 0.500, 0.500)  0.10
Ni (0.000, 0.000, 0.000)  0.10
Ni (0.500, 0.000, 0.000)  0.10
Ni (0.125, 0.375, 0.250)  0.27
Ni (0.750, 0.125, 0.875)  0.27
Ni (0.625, 0.750, 0.875)  0.27
Ni (0.000, 0.000, 0.500)  0.10
Ni (0.375, 0.125, 0.750)  0.27
Ni (0.500, 0.500, 0.000)  0.10
Ni (0.125, 0.750, 0.375)  0.27
Ni (0.250, 0.375, 0.625)  0.27
Ni (0.875, 0.625, 0.750)  0.27
Ni (0.000, 0.500, 0.000)  0.10
Ni (0.625, 0.875, 0.250)  0.27
Ni (0.375, 0.250, 0.125)  0.27
Ni (0.000, 0.500, 0.500)  0.10
Ni (0.750, 0.625, 0.375)  0.27
Tc (0.875, 0.125, 0.250)  0.60
Tc (0.250, 0.625, 0.875)  0.60
Tc (0.125, 0.250, 0.875)  0.60
Tc (0.625, 0.375, 0.750)  0.60
Tc (0.625, 0.250, 0.375)  0.60
Tc (0.750, 0.875, 0.625)  0.60
Tc (0.250, 0.125, 0.375)  0.60
Tc (0.375, 0.625, 0.250)  0.60
Tc (0.750, 0.375, 0.125)  0.60
Tc (0.375, 0.750, 0.625)  0.60
Tc (0.125, 0.875, 0.750)  0.60
Tc (0.875, 0.750, 0.125)  0.60

Values from the calculation:
The total DFT energy (no corrections) comes out at -4.87 eV/atom. As for the space-group type: Ia-3d, No. 230.

=====

2.
This record from the Alexandria database describes crystalline TcNi2H at its relaxed geometry. The functional is GGA-PBE.

a b c (Å): 2.592 2.592 7.201
angles (deg): 79.63 79.63 60.00
Fractional coordinates of all 4 atoms:
H (0.500, 0.500, 0.500)
Tc (0.000, 0.000, 0.000)
Ni (0.115, 0.115, 0.654)
Ni (0.885, 0.885, 0.346)

Values from the calculation:
As for the space-group type: R-3m, No. 166. As for the energy above the most stable polymorph in this dataset: 1.22 eV per formula unit.

=====

What is the formula in the first record?
Tc3Ni5H12